Below is a geometry-optimized K2MgAg structure, with properties calculated at the PBE level.

Lattice parameters (Å, degrees): 4.174 4.174 33.458 90.00 90.00 120.00
Fractional positions:
1 K 0.000 0.000 0.237
2 K 0.000 0.000 0.763
3 K 0.333 0.667 0.430
4 K 0.333 0.667 0.904
5 K 0.667 0.333 0.096
6 K 0.667 0.333 0.570
7 Mg 0.000 0.000 0.000
8 Mg 0.333 0.667 0.667
9 Mg 0.667 0.333 0.333
10 Ag 0.000 0.000 0.500
11 Ag 0.333 0.667 0.167
12 Ag 0.667 0.333 0.833

Crystal system ... trigonal
Symmetry ... R-3m (166)

***

Below is a geometry-optimized K2MgAg structure, with properties calculated at the PBE level.

Lattice parameters (Å, degrees): 12.232 12.232 5.357 90.00 90.00 90.00
Fractional positions:
1 K 0.098 0.250 0.125
2 K 0.250 0.598 0.375
3 K 0.250 0.902 0.875
4 K 0.402 0.250 0.625
5 K 0.598 0.750 0.625
6 K 0.750 0.098 0.875
7 K 0.750 0.402 0.375
8 K 0.902 0.750 0.125
9 Mg 0.000 0.000 0.500
10 Mg 0.000 0.500 0.750
11 Mg 0.500 0.000 0.250
12 Mg 0.500 0.500 0.000
13 Ag 0.000 0.000 0.000
14 Ag 0.000 0.500 0.250
15 Ag 0.500 0.000 0.750
16 Ag 0.500 0.500 0.500

Crystal system ... tetragonal
Symmetry ... I-42d (122)

***

no.,ΔH_f (0 K) (meV/atom),ρ (g/cm3),final energy (Ry/atom)
1,261,2.1,-0.103
2,154,1.7,-0.111